[1]
VASP calculation (PBE) on crystalline NbAgSCl2 at its relaxed geometry.

Geometry as extended XYZ:
```
5
Lattice="-3.940 2.191 -1.812 -2.151 -0.271 4.349 1.920 4.466 1.227" Properties=species:S:1:pos:R:3 pbc="T T T"
Cl -1.075 -0.135 2.174
Cl -1.970 1.096 -0.906
Nb -2.085 3.194 1.882
Ag 0.000 0.000 0.000
S 0.960 2.233 0.614
```

Crystal system = tetragonal
Uncorrected formation energy = 563 meV per atom
Total DFT energy (no corrections) = -3.585 eV/atom
Energy above the most stable polymorph in this dataset = 927 meV/atom
Density of states at the Fermi level = 6.30 states/eV/f.u.

=====

[2]
VASP calculation (PBE) on crystalline NbAgSCl2 at its relaxed geometry.

Geometry as extended XYZ:
```
5
Lattice="4.925 0.000 0.000 0.000 4.925 0.000 0.000 0.000 4.822" Properties=species:S:1:pos:R:3 pbc="T T T"
Ag 2.462 2.462 2.411
Cl 0.000 2.462 0.000
Cl 2.462 0.000 0.000
S 0.000 0.000 2.411
Nb 0.000 0.000 0.000
```

Crystal system = tetragonal
Uncorrected formation energy = -363 meV per atom
Total DFT energy (no corrections) = -4.512 eV/atom
Energy above the most stable polymorph in this dataset = 0 meV/atom
Density of states at the Fermi level = 3.39 states/eV/f.u.

=====

[3]
VASP calculation (PBE) on crystalline TiNb2AgCl at its relaxed geometry.

Geometry as extended XYZ:
```
5
Lattice="4.742 0.000 0.000 0.000 5.129 0.000 0.000 0.000 4.742" Properties=species:S:1:pos:R:3 pbc="T T T"
Nb 2.371 0.000 0.000
Nb 0.000 0.000 2.371
Cl 2.371 2.564 2.371
Ag 0.000 2.564 0.000
Ti 0.000 0.000 0.000
```

Crystal system = tetragonal
Uncorrected formation energy = 1222 meV per atom
Total DFT energy (no corrections) = -5.325 eV/atom
Density of states at the Fermi level = 5.73 states/eV/f.u.

=====

What did the third record say?
VASP calculation (PBE) on crystalline TiNb2AgCl at its relaxed geometry.

Geometry as extended XYZ:
```
5
Lattice="4.742 0.000 0.000 0.000 5.129 0.000 0.000 0.000 4.742" Properties=species:S:1:pos:R:3 pbc="T T T"
Nb 2.371 0.000 0.000
Nb 0.000 0.000 2.371
Cl 2.371 2.564 2.371
Ag 0.000 2.564 0.000
Ti 0.000 0.000 0.000
```

Crystal system = tetragonal
Uncorrected formation energy = 1222 meV per atom
Total DFT energy (no corrections) = -5.325 eV/atom
Density of states at the Fermi level = 5.73 states/eV/f.u.